# YSc2Ir, optimized geometry, DFT GGA-PBE
data_YSc2Ir
_chemical_formula_sum 'Y1 Sc2 Ir1'
_cell_length_a 5.949
_cell_length_b 5.949
_cell_length_c 5.949
_cell_angle_alpha 145.61
_cell_angle_beta 130.85
_cell_angle_gamma 61.36
_space_group_name_H-M_alt 'P 1'
_space_group_IT_number 1
loop_
_space_group_symop_operation_xyz
'x,y,z'
loop_
_atom_site_label
_atom_site_type_symbol
_atom_site_fract_x
_atom_site_fract_y
_atom_site_fract_z
Y1 Y 0.000 0.000 0.000
Sc1 Sc 0.291 0.791 0.500
Sc2 Sc 0.592 0.592 0.000
Ir1 Ir 0.783 0.283 0.500
# Final energy, eV per atom: -7.480
# Formation energy, meV/atom: -483.1
# Offset from the most stable computed form, eV/atom: 0.105
# Space group: Imm2, No. 44